Record 1
This record from the Alexandria database describes CuAg14Sn after structural relaxation. The functional is PBE-GGA.

Results
Spin magnetization, μB/atom: 0.0000
Formation enthalpy at 0 K, kcal/mol of atoms: 1.06

a = 9.7074 Å, b = 5.8405 Å, c = 10.1950 Å
α = 90.00°, β = 90.00°, γ = 90.00°
Space group Amm2 (No. 38)
One atom of each set of equivalent atoms:
Cu: 0.0000 0.0000 0.0000 (multiplicity 2)
Ag: 0.0000 0.2486 0.7515 (multiplicity 4)
Ag: 0.2484 0.0000 0.1657 (multiplicity 4)
Ag: 0.2501 0.2466 0.9175 (multiplicity 8)
Ag: 0.2553 0.0000 0.6685 (multiplicity 4)
Ag: 0.5000 0.0000 0.3333 (multiplicity 2)
Ag: 0.5000 0.0000 0.8339 (multiplicity 2)
Ag: 0.5000 0.2497 0.0826 (multiplicity 4)
Sn: 0.0000 0.0000 0.5019 (multiplicity 2)



Record 2
This record from the Alexandria database describes Tm2MgS4 after structural relaxation. The functional is PBE-GGA.

Results
Uncorrected formation energy, kcal/mol of atoms: -43.3
Energy above the most stable polymorph in this dataset, eV per atom: 0.026
Spin magnetization, μB/atom: 0.0000

a = 13.3299 Å, b = 7.7875 Å, c = 6.4877 Å
α = 90.00°, β = 90.00°, γ = 90.00°
Space group Pnma (No. 62)
One atom of each set of equivalent atoms:
Tm: 0.0000 0.0000 0.0000 (multiplicity 4)
Tm: 0.2321 0.2500 0.4943 (multiplicity 4)
Mg: 0.0963 0.7500 0.4209 (multiplicity 4)
S: 0.0709 0.2500 0.7464 (multiplicity 4)
S: 0.0903 0.7500 0.7899 (multiplicity 4)
S: 0.1706 0.5065 0.2341 (multiplicity 8)



Record 3
This record from the Alexandria database describes Sr2InHg5 after structural relaxation. The functional is PBE-GGA.

Results
Energy above the most stable polymorph in this dataset, eV per atom: 0.000
Spin magnetization, μB/atom: 0.0000
Formation enthalpy at 0 K, kcal/mol of atoms: -8.30

a = 11.7046 Å, b = 6.9913 Å, c = 6.9908 Å
α = 90.00°, β = 126.54°, γ = 90.00°
Space group Cm (No. 8)
One atom of each set of equivalent atoms:
Sr: 0.0000 0.0000 0.0000 (multiplicity 2)
Sr: 0.0000 0.5000 0.4981 (multiplicity 2)
In: 0.4641 0.0000 0.9622 (multiplicity 2)
Hg: 0.0300 0.0000 0.5294 (multiplicity 2)
Hg: 0.2493 0.2674 0.0162 (multiplicity 4)
Hg: 0.2495 0.2681 0.4809 (multiplicity 4)